1.
First-principles (PBE-GGA) data for an optimized crystal structure of Dy8Tm2Zr, as listed in Alexandria.

Properties
size of the total moment: 0.000 μB/cell
offset from the most stable computed form: 171 meV per atom
DOS(E_F): 17.96 states/eV per cell
space group: C2/m (12)
crystal system: monoclinic

Cell lengths 6.5199, 9.9227, 9.9227 Å; angles 38.07, 61.17, 61.17 degrees
Closest atoms and distances in Å follow each position.
Fractional positions:
Dy 0.2740 0.4055 0.4055  8 Dy 3.39-3.75, 3 Tm 3.67-3.69, 2 Zr 3.68
Tm 0.5472 0.8152 0.8152  9 Dy 3.32-3.69, 1 Zr 3.48
Dy 0.8466 0.2468 0.2468  5 Dy 3.28-3.41, 4 Tm 3.32-3.66
Dy 0.7731 0.1754 0.6639  1 Zr 3.08, 5 Dy 3.16-3.41, 1 Tm 3.42
Tm 0.4528 0.1848 0.1848  9 Dy 3.32-3.69, 1 Zr 3.48
Dy 0.1534 0.7532 0.7532  5 Dy 3.28-3.41, 4 Tm 3.32-3.66
Zr 0.0000 0.0000 0.0000  4 Dy 3.08
Dy 0.7260 0.5945 0.5945  8 Dy 3.39-3.75, 3 Tm 3.67-3.69, 2 Zr 3.68
Dy 0.7731 0.6639 0.1754  1 Zr 3.08, 5 Dy 3.16-3.41, 1 Tm 3.42
Dy 0.2269 0.3361 0.8246  1 Zr 3.08, 5 Dy 3.16-3.41, 1 Tm 3.42
Dy 0.2269 0.8246 0.3361  1 Zr 3.08, 5 Dy 3.16-3.41, 1 Tm 3.42

2.
First-principles (PBE-GGA) data for an optimized crystal structure of Dy6Tm2Zr, as listed in Alexandria.

Properties
DFT total energy: -4.941 eV/atom
size of the total moment: 0.768 μB/cell
DOS(E_F): 16.34 states/eV per cell
space group: P-6m2 (187)
crystal system: hexagonal

Cell lengths 3.5195, 3.5195, 25.6810 Å; angles 90.00, 90.00, 120.00 degrees
Closest atoms and distances in Å follow each position.
Fractional positions:
Dy 0.6667 0.3333 0.1012  3 Zr 3.30, 9 Dy 3.52-3.56
Dy 0.3333 0.6667 0.5672  3 Tm 3.43, 7 Dy 3.45-3.52
Zr 0.3333 0.6667 0.0000  6 Dy 3.30, 6 Zr 3.52
Dy 0.6667 0.3333 0.8988  3 Zr 3.30, 9 Dy 3.52-3.56
Dy 0.3333 0.6667 0.7848  3 Tm 3.48, 9 Dy 3.52-3.56
Tm 0.6667 0.3333 0.3250  6 Dy 3.43-3.48, 6 Tm 3.52
Dy 0.3333 0.6667 0.4328  3 Tm 3.43, 7 Dy 3.45-3.52
Tm 0.6667 0.3333 0.6750  6 Dy 3.43-3.48, 6 Tm 3.52
Dy 0.3333 0.6667 0.2152  3 Tm 3.48, 9 Dy 3.52-3.56

3.
First-principles (PBE-GGA) data for an optimized crystal structure of Dy2Tm3Zr, as listed in Alexandria.

Properties
DFT total energy: -5.018 eV/atom
size of the total moment: 0.000 μB/cell
DOS(E_F): 17.79 states/eV per cell
space group: C2/m (12)
crystal system: monoclinic

Cell lengths 3.3539, 8.7101, 12.6888 Å; angles 77.90, 82.41, 78.90 degrees
Closest atoms and distances in Å follow each position.
Fractional positions:
Dy 0.3509 0.8300 0.4683  2 Zr 3.28-3.35, 4 Dy 3.35-3.57, 5 Tm 3.37-3.53
Dy 0.6491 0.1700 0.5317  2 Zr 3.28-3.35, 4 Dy 3.35-3.57, 5 Tm 3.37-3.53
Zr 0.4345 0.4847 0.6464  4 Dy 3.28-3.35, 3 Zr 3.35-3.64, 4 Tm 3.39-3.48
Tm 0.5990 0.8317 0.9704  4 Tm 3.11-3.41, 3 Dy 3.40-3.44
Tm 0.9650 0.8512 0.2188  3 Dy 3.27-3.53, 6 Tm 3.35-3.66, 2 Zr 3.48
Tm 0.4010 0.1683 0.0296  4 Tm 3.11-3.41, 3 Dy 3.40-3.44
Tm 0.2536 0.1960 0.2968  4 Dy 3.20-3.45, 3 Tm 3.35-3.41, 2 Zr 3.39
Tm 0.7464 0.8040 0.7032  4 Dy 3.20-3.45, 3 Tm 3.35-3.41, 2 Zr 3.39
Zr 0.5655 0.5153 0.3536  4 Dy 3.28-3.35, 3 Zr 3.35-3.64, 4 Tm 3.39-3.48
Dy 0.8221 0.4786 0.8773  5 Tm 3.20-3.44, 2 Zr 3.35, 2 Dy 3.35
Tm 0.0350 0.1488 0.7812  3 Dy 3.27-3.53, 6 Tm 3.35-3.66, 2 Zr 3.48
Dy 0.1779 0.5214 0.1227  5 Tm 3.20-3.44, 2 Zr 3.35, 2 Dy 3.35

4.
First-principles (PBE-GGA) data for an optimized crystal structure of DyTm2Zr, as listed in Alexandria.

Properties
size of the total moment: 2.629 μB/cell
offset from the most stable computed form: 145 meV per atom
DOS(E_F): 6.72 states/eV per cell
space group: Fm-3m (225)
crystal system: cubic

Cell lengths 5.4490, 5.4490, 5.4490 Å; angles 60.00, 60.00, 60.00 degrees
Closest atoms and distances in Å follow each position.
Fractional positions:
Tm 0.7500 0.7500 0.7500  4 Zr 3.34, 4 Dy 3.34
Tm 0.2500 0.2500 0.2500  4 Zr 3.34, 4 Dy 3.34
Dy 0.0000 0.0000 0.0000  8 Tm 3.34
Zr 0.5000 0.5000 0.5000  8 Tm 3.34

Which value of size of the total moment does entry 1 give?
0.000 μB/cell

Among the records above, which one has the highest size of the total moment?
DyTm2Zr

Repeat the third record exactly.
First-principles (PBE-GGA) data for an optimized crystal structure of Dy2Tm3Zr, as listed in Alexandria.

Properties
DFT total energy: -5.018 eV/atom
size of the total moment: 0.000 μB/cell
DOS(E_F): 17.79 states/eV per cell
space group: C2/m (12)
crystal system: monoclinic

Cell lengths 3.3539, 8.7101, 12.6888 Å; angles 77.90, 82.41, 78.90 degrees
Closest atoms and distances in Å follow each position.
Fractional positions:
Dy 0.3509 0.8300 0.4683  2 Zr 3.28-3.35, 4 Dy 3.35-3.57, 5 Tm 3.37-3.53
Dy 0.6491 0.1700 0.5317  2 Zr 3.28-3.35, 4 Dy 3.35-3.57, 5 Tm 3.37-3.53
Zr 0.4345 0.4847 0.6464  4 Dy 3.28-3.35, 3 Zr 3.35-3.64, 4 Tm 3.39-3.48
Tm 0.5990 0.8317 0.9704  4 Tm 3.11-3.41, 3 Dy 3.40-3.44
Tm 0.9650 0.8512 0.2188  3 Dy 3.27-3.53, 6 Tm 3.35-3.66, 2 Zr 3.48
Tm 0.4010 0.1683 0.0296  4 Tm 3.11-3.41, 3 Dy 3.40-3.44
Tm 0.2536 0.1960 0.2968  4 Dy 3.20-3.45, 3 Tm 3.35-3.41, 2 Zr 3.39
Tm 0.7464 0.8040 0.7032  4 Dy 3.20-3.45, 3 Tm 3.35-3.41, 2 Zr 3.39
Zr 0.5655 0.5153 0.3536  4 Dy 3.28-3.35, 3 Zr 3.35-3.64, 4 Tm 3.39-3.48
Dy 0.8221 0.4786 0.8773  5 Tm 3.20-3.44, 2 Zr 3.35, 2 Dy 3.35
Tm 0.0350 0.1488 0.7812  3 Dy 3.27-3.53, 6 Tm 3.35-3.66, 2 Zr 3.48
Dy 0.1779 0.5214 0.1227  5 Tm 3.20-3.44, 2 Zr 3.35, 2 Dy 3.35

What is the size of the total moment in the fourth record?
2.629 μB/cell